First-principles (PBEsol) data for a geometry-optimized LiAsO3 structure, as listed in the Alexandria database.

Calculated values
- Theoretical density: 3.70 g/cm3
- E_form (uncorrected): -147.78 kJ/mol of atoms
- Calculated volume: 233.0 Å³/cell

CIF file:
```
data_LiAsO3
_chemical_formula_sum 'Li4 As4 O12'
_space_group_name_H-M_alt 'P 1'
_space_group_IT_number 1
_cell_length_a 5.244
_cell_length_b 6.880
_cell_length_c 6.880
_cell_angle_alpha 85.14
_cell_angle_beta 75.69
_cell_angle_gamma 75.69
loop_
_space_group_symop_operation_xyz
'x,y,z'
loop_
_atom_site_label
_atom_site_type_symbol
_atom_site_fract_x
_atom_site_fract_y
_atom_site_fract_z
O1 O 0.624 0.120 0.622
O2 O 0.876 0.378 0.880
O3 O 0.641 0.800 0.966
O4 O 0.985 0.325 0.401
O5 O 0.124 0.622 0.120
O6 O 0.376 0.880 0.378
O7 O 0.515 0.599 0.675
O8 O 0.485 0.401 0.325
O9 O 0.859 0.034 0.200
O10 O 0.015 0.675 0.599
O11 O 0.141 0.966 0.800
O12 O 0.359 0.200 0.034
Li1 Li 0.250 0.217 0.783
Li2 Li 0.750 0.783 0.217
Li3 Li 0.750 0.100 0.900
Li4 Li 0.250 0.900 0.100
As1 As 0.237 0.387 0.195
As2 As 0.737 0.195 0.387
As3 As 0.263 0.805 0.613
As4 As 0.763 0.613 0.805
```